Zr3Nb | OQMD | PBE | relaxed; theoretical density = 6.9 g cm⁻³; formation energy from the elements = 0.12 eV/atom; crystal system = orthorhombic; magnetization = 0.01 μB per cell; space-group type = No. 63; calculated total energy = -8.816 eV per atom
1.0
-2.8954 2.3796 4.7870
0.3083 -6.3530 -0.5196
4.3971 -0.0043 2.6617
Zr Nb
6 2
Direct
0.3433 0.6918 0.5000
0.4859 0.4722 0.0000
0.3475 0.1945 0.5000
0.4901 0.9748 0.0000
0.8491 0.6918 0.5000
0.9842 0.9749 0.0000
0.8562 0.2118 0.5000
0.9772 0.4548 0.0000

***

YCuMoAs | OQMD | PBE | relaxed; theoretical density = 7.1 g cm⁻³; crystal system = cubic; distance to the lowest polymorph of the same formula = 0.85 eV per formula unit; magnetization = 2.56 μB per cell; space-group type = No. 216; calculated total energy = -5.905 eV per atom
1.0
-1.8593 1.1275 4.2256
-3.6431 3.0406 0.2579
-4.3254 -1.5696 1.1878
Cu Mo As Y
1 1 1 1
Direct
0.7500 0.7500 0.7500
0.5000 0.5000 0.5000
0.0000 0.0000 0.0000
0.2500 0.2500 0.2500

***

PuCdW | OQMD | PBE | relaxed; theoretical density = 13.0 g cm⁻³; formation energy from the elements = 1.50 eV/atom; crystal system = cubic; magnetization = 3.46 μB per cell; space-group type = No. 216; calculated total energy = -7.830 eV per atom
1.0
-3.2247 -2.2159 -2.4320
-4.4228 1.2328 0.3778
-2.1069 2.1229 -3.5040
Cd W Pu
1 1 1
Direct
0.5000 0.5000 0.5000
0.0000 0.0000 0.0000
0.2500 0.2500 0.2500

***

HfZr2Co2As4Pd2 | OQMD | PBE | relaxed; theoretical density = 8.7 g cm⁻³; crystal system = monoclinic; magnetization = 0.57 μB per cell; space-group type = No. 6; calculated total energy = -7.161 eV per atom
1.0
6.5538 0.0000 0.0000
0.0000 3.9010 0.0000
-0.2374 0.0000 7.4002
Zr As Hf Pd Co
2 4 1 2 2
Direct
0.5293 0.5000 0.3147
0.0181 0.5000 0.1743
0.7379 0.0000 0.0830
0.2619 0.5000 0.8939
0.7605 0.5000 0.6551
0.2440 0.0000 0.3608
0.4742 0.0000 0.6985
0.8399 0.0000 0.4419
0.1486 0.5000 0.5701
0.3680 0.0000 0.0557
0.6195 0.5000 0.9493